Entry 1:
DFT (GGA-PBE) results for a relaxed PrScPt2 crystal.

Cell lengths 3.378, 3.378, 7.265 Å; angles 90.00, 90.00, 90.00 degrees
Atoms (fractional coordinates):
Pr 0.500 0.500 0.500
Sc 0.500 0.500 0.000
Pt 0.000 0.000 0.790
Pt 0.000 0.000 0.210

Output
- Mass density: 11.54 g/cm³
- ΔE to the lowest computed polymorph: 44.0 meV per atom
- Energy of formation: -1.09 eV/atom
- E_tot: -0.2532 hartree per atom

=====

Entry 2:
DFT (GGA-PBE) results for a relaxed SrCdB2O5 crystal.

Cell lengths 6.453, 6.453, 11.324 Å; angles 84.60, 84.60, 106.48 degrees
Atoms (fractional coordinates):
Sr 0.636 0.364 0.750
Sr 0.364 0.636 0.250
Sr 0.818 0.182 0.250
Sr 0.182 0.818 0.750
Cd 0.068 0.264 0.557
Cd 0.736 0.932 0.943
Cd 0.932 0.736 0.443
Cd 0.264 0.068 0.057
B 0.544 0.269 0.506
B 0.731 0.456 0.994
B 0.456 0.731 0.494
B 0.269 0.544 0.006
B 0.131 0.326 0.832
B 0.674 0.869 0.668
B 0.869 0.674 0.168
B 0.326 0.131 0.332
O 0.379 0.190 0.598
O 0.810 0.621 0.902
O 0.621 0.810 0.402
O 0.190 0.379 0.098
O 0.032 0.387 0.739
O 0.613 0.968 0.761
O 0.968 0.613 0.261
O 0.387 0.032 0.239
O 0.756 0.364 0.526
O 0.636 0.244 0.974
O 0.244 0.636 0.474
O 0.364 0.756 0.026
O 0.119 0.130 0.373
O 0.870 0.881 0.127
O 0.881 0.870 0.627
O 0.130 0.119 0.873
O 0.507 0.261 0.384
O 0.739 0.493 0.116
O 0.493 0.739 0.616
O 0.261 0.507 0.884

Output
- Mass density: 4.49 g/cm³
- E_tot: -0.2526 hartree per atom
- Energy relative to the elements, uncorrected: -2.3478 eV per atom

=====

Entry 3:
DFT (GGA-PBE) results for a relaxed CaTmAlCd crystal.

Cell lengths 5.223, 5.223, 5.223 Å; angles 60.00, 60.00, 60.00 degrees
Atoms (fractional coordinates):
Ca 0.000 0.000 0.000
Tm 0.500 0.500 0.500
Al 0.250 0.250 0.250
Cd 0.750 0.750 0.750

Output
- Mass density: 5.74 g/cm³
- ΔE to the lowest computed polymorph: 17.6 meV per atom
- Energy of formation: -0.30 eV/atom
- E_tot: -0.1133 hartree per atom

=====

Number 1: density of states at the Fermi level 3.5 states/eV/cell. Number 2: density of states at the Fermi level 0.0 states/eV/cell. Number 3: density of states at the Fermi level 2.0 states/eV/cell.